Record 1
First-principles (GGA-PBE) data for Al2C after structural relaxation, as listed in the Alexandria database.

Values from the calculation:
SG = R-3m
Formation enthalpy at 0 K = 0.152 eV/atom

Structure (CIF):
```
data_Al2C
_chemical_formula_sum 'Al2 C1'
_space_group_name_H-M_alt 'P 1'
_space_group_IT_number 1
_cell_length_a 4.9143
_cell_length_b 4.9143
_cell_length_c 4.9143
_cell_angle_alpha 36.56
_cell_angle_beta 36.56
_cell_angle_gamma 36.56
loop_
_space_group_symop_operation_xyz
'x,y,z'
loop_
_atom_site_label
_atom_site_fract_x
_atom_site_fract_y
_atom_site_fract_z
Al1 0.2436 0.2436 0.2436
Al2 0.7564 0.7564 0.7564
C1 0.5000 0.5000 0.5000
```

Record 2
First-principles (GGA-PBE) data for AcAl2GaAu5 after structural relaxation, as listed in the Alexandria database.

Values from the calculation:
SG = Immm
Formation enthalpy at 0 K = -0.369 eV/atom

Structure (CIF):
```
data_AcAl2GaAu5
_chemical_formula_sum 'Ac1 Al2 Ga1 Au5'
_space_group_name_H-M_alt 'P 1'
_space_group_IT_number 1
_cell_length_a 7.7350
_cell_length_b 7.7350
_cell_length_c 7.7350
_cell_angle_alpha 143.87
_cell_angle_beta 131.98
_cell_angle_gamma 61.54
loop_
_space_group_symop_operation_xyz
'x,y,z'
loop_
_atom_site_label
_atom_site_fract_x
_atom_site_fract_y
_atom_site_fract_z
Ac1 0.0000 0.0000 0.0000
Al1 0.3100 0.8100 0.5000
Al2 0.6900 0.1900 0.5000
Ga1 0.5000 0.5000 0.0000
Au1 0.0867 0.3361 0.7505
Au2 0.4144 0.6639 0.7505
Au3 0.5000 0.0000 0.5000
Au4 0.5856 0.3361 0.2495
Au5 0.9133 0.6639 0.2495
```

Record 3
First-principles (GGA-PBE) data for K2YMo after structural relaxation, as listed in the Alexandria database.

Values from the calculation:
SG = I4/mmm
Energy above the lowest structure with this stoichiometry = 397 meV per atom
Formation enthalpy at 0 K = 1.178 eV/atom

Structure (CIF):
```
data_K2YMo
_chemical_formula_sum 'K2 Y1 Mo1'
_space_group_name_H-M_alt 'P 1'
_space_group_IT_number 1
_cell_length_a 7.3451
_cell_length_b 7.3451
_cell_length_c 7.3451
_cell_angle_alpha 144.06
_cell_angle_beta 144.06
_cell_angle_gamma 51.74
loop_
_space_group_symop_operation_xyz
'x,y,z'
loop_
_atom_site_label
_atom_site_fract_x
_atom_site_fract_y
_atom_site_fract_z
K1 0.2500 0.7500 0.5000
K2 0.7500 0.2500 0.5000
Y1 0.0000 0.0000 0.0000
Mo1 0.5000 0.5000 0.0000
```

Asked for density of states at the Fermi level across the records above, the calculation gives 0.518, 3.201, 4.160 states/eV/f.u. in order.
Asked for size of the total moment across the records above, the calculation gives 0.000, 0.000, 3.258 μB/cell in order.
Asked for raw total energy across the records above, the calculation gives -5.4177, -3.8140, -3.6945 eV per atom in order.